# meta-GGA SCAN YAuC2, PBEsol geometry
data_YAuC2
_chemical_formula_sum 'Y4 Au4 C8'
_cell_length_a 4.308
_cell_length_b 4.308
_cell_length_c 13.163
_cell_angle_alpha 90.00
_cell_angle_beta 90.00
_cell_angle_gamma 90.00
_symmetry_space_group_name_H-M 'I -4 2 d'
_symmetry_Int_Tables_number 122
_symmetry_space_group_name_Hall 'I -4 2bw'
loop_
_atom_site_label
_atom_site_fract_x
_atom_site_fract_y
_atom_site_fract_z
_atom_site_occupancy
Y1 0.000 0.000 0.000 1
Au1 0.000 0.000 0.500 1
C1 0.160 0.250 0.625 1
# formation energy	0.93	eV/atom
# magnetic moment	0.00	μB per cell



# meta-GGA SCAN TaTcBiAu2, PBEsol geometry
data_TaTcBiAu2
_chemical_formula_sum 'Ta1 Tc1 Bi1 Au2'
_cell_length_a 4.925
_cell_length_b 4.925
_cell_length_c 4.989
_cell_angle_alpha 90.00
_cell_angle_beta 90.00
_cell_angle_gamma 90.00
_symmetry_space_group_name_H-M 'P 4/m m m'
_symmetry_Int_Tables_number 123
_symmetry_space_group_name_Hall '-P 4 2'
loop_
_atom_site_label
_atom_site_fract_x
_atom_site_fract_y
_atom_site_fract_z
_atom_site_occupancy
Ta1 0.000 0.000 0.000 1
Tc1 0.500 0.500 0.500 1
Bi1 0.500 0.500 0.000 1
Au1 0.000 0.500 0.500 1
# formation energy	1.55	eV/atom
# magnetic moment	4.58	μB per cell



Please write out number 2 again, unchanged.
# meta-GGA SCAN TaTcBiAu2, PBEsol geometry
data_TaTcBiAu2
_chemical_formula_sum 'Ta1 Tc1 Bi1 Au2'
_cell_length_a 4.925
_cell_length_b 4.925
_cell_length_c 4.989
_cell_angle_alpha 90.00
_cell_angle_beta 90.00
_cell_angle_gamma 90.00
_symmetry_space_group_name_H-M 'P 4/m m m'
_symmetry_Int_Tables_number 123
_symmetry_space_group_name_Hall '-P 4 2'
loop_
_atom_site_label
_atom_site_fract_x
_atom_site_fract_y
_atom_site_fract_z
_atom_site_occupancy
Ta1 0.000 0.000 0.000 1
Tc1 0.500 0.500 0.500 1
Bi1 0.500 0.500 0.000 1
Au1 0.000 0.500 0.500 1
# formation energy	1.55	eV/atom
# magnetic moment	4.58	μB per cell



Question: Which of these has the lowest formation energy?
Answer: YAuC2



Question: The lowest formation energy belongs to which entry?
Answer: YAuC2



Question: The lowest formation energy belongs to which entry?
Answer: YAuC2